(1)
# PmDyH | the Alexandria database | PBE-GGA | optimized geometry
# Energy relative to the lowest polymorph listed for this composition = 0.0 meV/atom
# Density = 7.8 Mg/m³
data_PmDyH
_chemical_formula_sum 'Pm4 Dy4 H4'
_cell_length_a 11.487
_cell_length_b 3.641
_cell_length_c 6.283
_cell_angle_alpha 90.00
_cell_angle_beta 90.00
_cell_angle_gamma 90.00
_symmetry_space_group_name_H-M 'P n m a'
_symmetry_Int_Tables_number 62
_symmetry_space_group_name_Hall '-P 2ac 2n'
loop_
_atom_site_label
_atom_site_fract_x
_atom_site_fract_y
_atom_site_fract_z
Pm1 0.003 0.250 0.243
Dy1 0.249 0.250 0.584
H1 0.134 0.250 0.911

***

(2)
# NbZnPd3 | the Alexandria database | PBE-GGA | optimized geometry
# Energy relative to the lowest polymorph listed for this composition = 0.0 meV/atom
# Formation enthalpy at 0 K = -0.29 eV/atom
# Density = 10.1 Mg/m³
data_NbZnPd3
_chemical_formula_sum 'Nb4 Zn4 Pd12'
_cell_length_a 12.449
_cell_length_b 4.683
_cell_length_c 5.458
_cell_angle_alpha 90.00
_cell_angle_beta 98.22
_cell_angle_gamma 90.00
_symmetry_space_group_name_H-M 'C 1 2/m 1'
_symmetry_Int_Tables_number 12
_symmetry_space_group_name_Hall '-C 2y'
loop_
_atom_site_label
_atom_site_fract_x
_atom_site_fract_y
_atom_site_fract_z
Nb1 0.098 0.000 0.149
Zn1 0.192 0.500 0.532
Pd1 0.003 0.500 0.254
Pd2 0.111 0.000 0.639
Pd3 0.197 0.500 0.031

***

(3)
# Zn2IrOs | the Alexandria database | PBE-GGA | optimized geometry
# Energy relative to the lowest polymorph listed for this composition = 190.1 meV/atom
# Formation enthalpy at 0 K = 0.20 eV/atom
# Density = 14.5 Mg/m³
data_Zn2IrOs
_chemical_formula_sum 'Zn4 Ir2 Os2'
_cell_length_a 2.735
_cell_length_b 4.753
_cell_length_c 9.064
_cell_angle_alpha 90.00
_cell_angle_beta 90.00
_cell_angle_gamma 90.00
_symmetry_space_group_name_H-M 'C m m 2'
_symmetry_Int_Tables_number 35
_symmetry_space_group_name_Hall 'C 2 -2'
loop_
_atom_site_label
_atom_site_fract_x
_atom_site_fract_y
_atom_site_fract_z
Zn1 0.000 0.000 0.000
Zn2 0.000 0.500 0.253
Ir1 0.000 0.000 0.500
Os1 0.000 0.500 0.750

***

(4)
# Tl2VSe3 | the Alexandria database | PBE-GGA | optimized geometry
# Energy relative to the lowest polymorph listed for this composition = 27.2 meV/atom
# Density = 6.2 Mg/m³
# Raw formation energy = -46.55 kJ/mol of atoms
data_Tl2VSe3
_chemical_formula_sum 'Tl16 V8 Se24'
_cell_length_a 7.026
_cell_length_b 13.576
_cell_length_c 15.756
_cell_angle_alpha 90.00
_cell_angle_beta 92.64
_cell_angle_gamma 90.00
_symmetry_space_group_name_H-M 'C 1 2/c 1'
_symmetry_Int_Tables_number 15
_symmetry_space_group_name_Hall '-C 2yc'
loop_
_atom_site_label
_atom_site_fract_x
_atom_site_fract_y
_atom_site_fract_z
Tl1 0.217 0.194 0.343
Tl2 0.250 0.103 0.942
V1 0.232 0.492 0.334
Se1 0.000 0.013 0.750
Se2 0.000 0.403 0.250
Se3 0.168 0.345 0.865
Se4 0.216 0.097 0.543

***

(5)
# MnGaHOs | the Alexandria database | PBE-GGA | optimized geometry
# Energy relative to the lowest polymorph listed for this composition = 126.4 meV/atom
# Density = 11.3 Mg/m³
data_MnGaHOs
_chemical_formula_sum 'Mn2 Ga2 H2 Os2'
_cell_length_a 2.921
_cell_length_b 3.781
_cell_length_c 8.404
_cell_angle_alpha 90.00
_cell_angle_beta 90.00
_cell_angle_gamma 90.00
_symmetry_space_group_name_H-M 'I m m 2'
_symmetry_Int_Tables_number 44
_symmetry_space_group_name_Hall 'I 2 -2'
loop_
_atom_site_label
_atom_site_fract_x
_atom_site_fract_y
_atom_site_fract_z
Mn1 0.000 0.000 0.000
Ga1 0.000 0.000 0.678
H1 0.000 0.500 0.944
Os1 0.000 0.000 0.323

***

(6)
# BaPaGaO5 | the Alexandria database | PBE-GGA | optimized geometry
# Density = 6.3 Mg/m³
# Raw formation energy = -283.57 kJ/mol of atoms
data_BaPaGaO5
_chemical_formula_sum 'Ba4 Pa4 Ga4 O20'
_cell_length_a 7.422
_cell_length_b 9.979
_cell_length_c 8.085
_cell_angle_alpha 90.00
_cell_angle_beta 113.48
_cell_angle_gamma 90.00
_symmetry_space_group_name_H-M 'C 1 2/c 1'
_symmetry_Int_Tables_number 15
_symmetry_space_group_name_Hall '-C 2yc'
loop_
_atom_site_label
_atom_site_fract_x
_atom_site_fract_y
_atom_site_fract_z
Ba1 0.000 0.165 0.250
Pa1 0.000 0.500 0.000
Ga1 0.000 0.185 0.750
O1 0.000 0.429 0.250
O2 0.092 0.295 0.610
O3 0.194 0.066 0.901

***

(7)
# AsRu | the Alexandria database | PBE-GGA | optimized geometry
# Formation enthalpy at 0 K = 0.06 eV/atom
# Density = 9.5 Mg/m³
data_AsRu
_chemical_formula_sum 'As4 Ru4'
_cell_length_a 3.029
_cell_length_b 4.232
_cell_length_c 9.610
_cell_angle_alpha 90.00
_cell_angle_beta 90.00
_cell_angle_gamma 90.00
_symmetry_space_group_name_H-M 'I m m a'
_symmetry_Int_Tables_number 74
_symmetry_space_group_name_Hall '-I 2b 2'
loop_
_atom_site_label
_atom_site_fract_x
_atom_site_fract_y
_atom_site_fract_z
As1 0.000 0.250 0.111
Ru1 0.000 0.250 0.606

***

(8)
# In4SiOs | the Alexandria database | PBE-GGA | optimized geometry
# Density = 8.4 Mg/m³
# Raw formation energy = 101.98 kJ/mol of atoms
data_In4SiOs
_chemical_formula_sum 'In16 Si4 Os4'
_cell_length_a 8.120
_cell_length_b 8.120
_cell_length_c 8.120
_cell_angle_alpha 90.00
_cell_angle_beta 90.00
_cell_angle_gamma 90.00
_symmetry_space_group_name_H-M 'F -4 3 m'
_symmetry_Int_Tables_number 216
_symmetry_space_group_name_Hall 'F -4 2 3'
loop_
_atom_site_label
_atom_site_fract_x
_atom_site_fract_y
_atom_site_fract_z
In1 0.125 0.125 0.125
Si1 0.000 0.000 0.500
Os1 0.250 0.250 0.750

***

Please write out number 1 again, unchanged.
# PmDyH | the Alexandria database | PBE-GGA | optimized geometry
# Energy relative to the lowest polymorph listed for this composition = 0.0 meV/atom
# Density = 7.8 Mg/m³
data_PmDyH
_chemical_formula_sum 'Pm4 Dy4 H4'
_cell_length_a 11.487
_cell_length_b 3.641
_cell_length_c 6.283
_cell_angle_alpha 90.00
_cell_angle_beta 90.00
_cell_angle_gamma 90.00
_symmetry_space_group_name_H-M 'P n m a'
_symmetry_Int_Tables_number 62
_symmetry_space_group_name_Hall '-P 2ac 2n'
loop_
_atom_site_label
_atom_site_fract_x
_atom_site_fract_y
_atom_site_fract_z
Pm1 0.003 0.250 0.243
Dy1 0.249 0.250 0.584
H1 0.134 0.250 0.911